Record 1
Be2ZnTc2 | PBE | optimized geometry

a = 6.595 Å, b = 6.595 Å, c = 2.969 Å
α = 90.00°, β = 90.00°, γ = 90.00°
Sites, in units of the cell vectors:
1 Be 0.170 0.330 0.000
2 Be 0.330 0.830 0.000
3 Be 0.670 0.170 0.000
4 Be 0.830 0.670 0.000
5 Zn 0.000 0.000 0.500
6 Zn 0.500 0.500 0.500
7 Tc 0.125 0.625 0.500
8 Tc 0.375 0.125 0.500
9 Tc 0.625 0.875 0.500
10 Tc 0.875 0.375 0.500

Summary:
DOS at the Fermi energy = 0.3937 states/eV/atom
ρ = 7.19 Mg/m³
Calculated total energy = -57.3 eV/cell
ΔE_f = 158 meV/atom
Calculated volume = 12.91 Å³ per atom
E above lowest polymorph = 0.3146 eV per atom

Record 2
Be2ZnTc | PBE | optimized geometry

a = 2.552 Å, b = 2.552 Å, c = 7.406 Å
α = 90.00°, β = 90.00°, γ = 102.36°
Sites, in units of the cell vectors:
1 Be 0.000 0.000 0.000
2 Be 0.500 0.500 0.206
3 Zn 0.000 0.000 0.458
4 Tc 0.500 0.500 0.758

Summary:
DOS at the Fermi energy = 0.5498 states/eV/atom
ρ = 6.39 Mg/m³
Calculated total energy = -18.2 eV/cell
ΔE_f = 227 meV/atom
Calculated volume = 11.78 Å³ per atom

Record 3
Be3ZnTc | PBE | optimized geometry

a = 3.954 Å, b = 3.954 Å, c = 3.954 Å
α = 90.00°, β = 90.00°, γ = 90.00°
Sites, in units of the cell vectors:
1 Be 0.000 0.000 0.500
2 Be 0.000 0.500 0.000
3 Be 0.500 0.000 0.000
4 Zn 0.000 0.000 0.000
5 Tc 0.500 0.500 0.500

Summary:
DOS at the Fermi energy = 0.4791 states/eV/atom
ρ = 5.11 Mg/m³
Calculated total energy = -18.1 eV/cell
ΔE_f = 940 meV/atom
Calculated volume = 12.37 Å³ per atom
E above lowest polymorph = 0.0000 eV per atom

Record 4
BeZnTc | PBE | optimized geometry

a = 3.823 Å, b = 3.823 Å, c = 3.823 Å
α = 60.00°, β = 60.00°, γ = 60.00°
Sites, in units of the cell vectors:
1 Be 0.000 0.000 0.000
2 Zn 0.750 0.750 0.750
3 Tc 0.250 0.250 0.250

Summary:
DOS at the Fermi energy = 0.2794 states/eV/atom
ρ = 7.25 Mg/m³
Calculated total energy = -14.5 eV/cell
ΔE_f = 299 meV/atom
Calculated volume = 13.17 Å³ per atom
E above lowest polymorph = 0.2336 eV per atom

Record 5
Be4ZnTc | PBE | optimized geometry

a = 4.374 Å, b = 4.374 Å, c = 4.374 Å
α = 60.00°, β = 60.00°, γ = 60.00°
Sites, in units of the cell vectors:
1 Be 0.123 0.123 0.123
2 Be 0.123 0.123 0.632
3 Be 0.123 0.632 0.123
4 Be 0.632 0.123 0.123
5 Zn 0.500 0.500 0.500
6 Tc 0.750 0.750 0.750

Summary:
DOS at the Fermi energy = 0.2040 states/eV/atom
ρ = 5.60 Mg/m³
Calculated total energy = -27.0 eV/cell
ΔE_f = -79 meV/atom
Calculated volume = 9.86 Å³ per atom

Record 6
Be3ZnTc | PBE | optimized geometry

a = 4.197 Å, b = 4.197 Å, c = 4.197 Å
α = 90.00°, β = 90.00°, γ = 90.00°
Sites, in units of the cell vectors:
1 Be 0.000 0.000 0.500
2 Be 0.000 0.500 0.000
3 Be 0.500 0.000 0.000
4 Zn 0.500 0.500 0.500
5 Tc 0.000 0.000 0.000

Summary:
DOS at the Fermi energy = 0.4330 states/eV/atom
ρ = 4.28 Mg/m³
Calculated total energy = -18.0 eV/cell
ΔE_f = 970 meV/atom
Calculated volume = 14.79 Å³ per atom
E above lowest polymorph = 0.0302 eV per atom

Record 7
BeZnTc | PBE | optimized geometry

a = 4.009 Å, b = 4.009 Å, c = 2.664 Å
α = 90.00°, β = 90.00°, γ = 120.00°
Sites, in units of the cell vectors:
1 Be 0.000 0.000 0.000
2 Zn 0.333 0.667 0.998
3 Tc 0.667 0.333 0.498

Summary:
DOS at the Fermi energy = 0.8119 states/eV/atom
ρ = 7.72 Mg/m³
Calculated total energy = -15.2 eV/cell
ΔE_f = 66 meV/atom
Calculated volume = 12.36 Å³ per atom
E above lowest polymorph = 0.0000 eV per atom

Record 8
Be2ZnTc | PBE | optimized geometry

a = 4.822 Å, b = 4.822 Å, c = 4.822 Å
α = 147.37°, β = 131.39°, γ = 59.77°
Sites, in units of the cell vectors:
1 Be 0.000 0.000 0.000
2 Be 0.777 0.277 0.500
3 Zn 0.245 0.745 0.500
4 Tc 0.520 0.520 0.000

Summary:
DOS at the Fermi energy = 0.4628 states/eV/atom
ρ = 6.70 Mg/m³
Calculated total energy = -19.1 eV/cell
ΔE_f = 10 meV/atom
Calculated volume = 11.24 Å³ per atom

Record 9
Be2ZnTc | PBE | optimized geometry

a = 8.191 Å, b = 8.191 Å, c = 8.191 Å
α = 18.60°, β = 18.60°, γ = 18.60°
Sites, in units of the cell vectors:
1 Be 0.247 0.247 0.247
2 Be 0.753 0.753 0.753
3 Zn 0.000 0.000 0.000
4 Tc 0.500 0.500 0.500

Summary:
DOS at the Fermi energy = 0.6736 states/eV/atom
ρ = 6.17 Mg/m³
Calculated total energy = -18.2 eV/cell
ΔE_f = 216 meV/atom
Calculated volume = 12.21 Å³ per atom

Record 10
BeZnTc | PBE | optimized geometry

a = 4.971 Å, b = 4.971 Å, c = 4.971 Å
α = 149.80°, β = 143.05°, γ = 48.44°
Sites, in units of the cell vectors:
1 Be 0.000 0.000 0.000
2 Zn 0.348 0.348 0.000
3 Tc 0.651 0.651 0.000

Summary:
DOS at the Fermi energy = 0.6183 states/eV/atom
ρ = 7.74 Mg/m³
Calculated total energy = -15.1 eV/cell
ΔE_f = 78 meV/atom
Calculated volume = 12.33 Å³ per atom
E above lowest polymorph = 0.0123 eV per atom

Record 11
Be2ZnTc | PBE | optimized geometry

a = 5.025 Å, b = 5.025 Å, c = 5.025 Å
α = 104.57°, β = 104.57°, γ = 119.78°
Sites, in units of the cell vectors:
1 Be 0.115 0.125 0.490
2 Be 0.375 0.885 0.010
3 Be 0.635 0.625 0.510
4 Be 0.875 0.365 0.990
5 Zn 0.000 0.000 0.000
6 Zn 0.750 0.250 0.500
7 Tc 0.250 0.750 0.500
8 Tc 0.500 0.500 0.000

Summary:
DOS at the Fermi energy = 0.8951 states/eV/atom
ρ = 6.32 Mg/m³
Calculated total energy = -35.5 eV/cell
ΔE_f = 332 meV/atom
Calculated volume = 11.91 Å³ per atom

Record 12
ZrBeTc2 | PBE | optimized geometry

a = 4.908 Å, b = 4.908 Å, c = 4.908 Å
α = 142.84°, β = 121.69°, γ = 71.20°
Sites, in units of the cell vectors:
1 Zr 0.000 0.000 0.000
2 Be 0.500 0.500 0.000
3 Tc 0.283 0.783 0.500
4 Tc 0.717 0.217 0.500

Summary:
DOS at the Fermi energy = 0.9534 states/eV/atom
ρ = 8.24 Mg/m³
Calculated total energy = -32.9 eV/cell
ΔE_f = 39 meV/atom
Calculated volume = 14.92 Å³ per atom

Question: Look up the ΔE_f of the tenth one.
Answer: 78 meV/atom